(1)
Below is a relaxed structure of TlGe2S2, with properties calculated at the GGA-PBE level.

Values from the calculation:
E_form (uncorrected) ... -27 meV/atom

The structure in CIF format:
```
data_TlGe2S2
_chemical_formula_sum 'Tl2 Ge4 S4'
_cell_length_a 8.390
_cell_length_b 8.390
_cell_length_c 3.563
_cell_angle_alpha 90.00
_cell_angle_beta 90.00
_cell_angle_gamma 90.00
_symmetry_space_group_name_H-M 'P 4/m b m'
_symmetry_Int_Tables_number 127
_symmetry_space_group_name_Hall '-P 4 2ab'
loop_
_atom_site_label
_atom_site_fract_x
_atom_site_fract_y
_atom_site_fract_z
Tl1 0.000 0.000 0.000
Ge1 0.162 0.338 0.000
S1 0.203 0.703 0.500
```

---

(2)
Below is a relaxed structure of Ce2AlZn2, with properties calculated at the GGA-PBE level.

Values from the calculation:
Energy relative to the elements ... -287 meV per atom

The structure in CIF format:
```
data_Ce2AlZn2
_chemical_formula_sum 'Ce8 Al4 Zn8'
_cell_length_a 10.502
_cell_length_b 4.599
_cell_length_c 9.262
_cell_angle_alpha 90.00
_cell_angle_beta 106.52
_cell_angle_gamma 90.00
_symmetry_space_group_name_H-M 'C 1 2/m 1'
_symmetry_Int_Tables_number 12
_symmetry_space_group_name_Hall '-C 2y'
loop_
_atom_site_label
_atom_site_fract_x
_atom_site_fract_y
_atom_site_fract_z
Ce1 0.049 0.000 0.375
Ce2 0.187 0.000 0.049
Al1 0.238 0.500 0.303
Zn1 0.004 0.500 0.862
Zn2 0.143 0.500 0.601
```